Below is a geometry-optimized Zn3Ga2Fe9 structure, with properties calculated at the PBE-GGA level.

Summary:
ΔH_f (0 K): 21 kJ/mol of atoms

Lattice parameters (Å, degrees): 3.954 7.674 7.551 120.54 105.18 90.00
Sites, in units of the cell vectors:
Zn 0.000 0.000 0.000
Fe 0.698 0.354 0.396
Fe 0.120 0.384 0.240
Fe 0.000 0.500 0.000
Zn 0.691 0.691 0.381
Zn 0.309 0.309 0.619
Ga 0.500 0.272 0.000
Fe 0.698 0.042 0.396
Fe 0.880 0.144 0.760
Fe 0.880 0.616 0.760
Fe 0.302 0.958 0.604
Ga 0.500 0.728 0.000
Fe 0.120 0.856 0.240
Fe 0.302 0.646 0.604

Below is a geometry-optimized Zr2TaOs structure, with properties calculated at the PBE-GGA level.

Summary:
ΔH_f (0 K): -10 kJ/mol of atoms
ΔE to the lowest computed polymorph: 0.123 eV/atom

Lattice parameters (Å, degrees): 4.543 3.071 5.590 76.53 90.00 90.00
Sites, in units of the cell vectors:
Ta 0.500 0.716 0.732
Os 0.000 0.504 0.510
Zr 0.000 0.000 0.994
Zr 0.500 0.280 0.263

Below is a geometry-optimized Nd4UO10 structure, with properties calculated at the PBE-GGA level.

Summary:
ΔE_f (raw): -3.06 eV/atom

Lattice parameters (Å, degrees): 5.510 6.825 6.825 80.62 66.19 66.19
Sites, in units of the cell vectors:
Nd 0.201 0.399 0.200
O 0.048 0.090 0.279
O 0.952 0.910 0.721
Nd 0.600 0.200 0.601
O 0.750 0.500 0.500
O 0.417 0.910 0.721
O 0.138 0.279 0.910
U 0.000 0.000 0.000
Nd 0.799 0.601 0.800
O 0.327 0.721 0.090
O 0.583 0.090 0.279
O 0.250 0.500 0.500
O 0.673 0.279 0.910
Nd 0.400 0.800 0.399
O 0.862 0.721 0.090

Below is a geometry-optimized TlGeAu3 structure, with properties calculated at the PBE-GGA level.

Summary:
ΔH_f (0 K): -1 kJ/mol of atoms
ΔE to the lowest computed polymorph: 0.000 eV/atom

Lattice parameters (Å, degrees): 4.802 9.644 9.733 90.00 90.00 90.00
Sites, in units of the cell vectors:
Tl 0.250 0.625 0.472
Tl 0.750 0.875 0.972
Ge 0.250 0.158 0.651
Au 0.250 0.434 0.198
Au 0.250 0.892 0.723
Au 0.750 0.779 0.601
Au 0.750 0.066 0.698
Au 0.250 0.221 0.399
Ge 0.750 0.342 0.151
Tl 0.250 0.125 0.028
Au 0.250 0.721 0.101
Ge 0.750 0.842 0.349
Ge 0.250 0.658 0.849
Au 0.750 0.608 0.223
Au 0.750 0.279 0.899
Au 0.750 0.108 0.277
Au 0.250 0.934 0.302
Au 0.750 0.566 0.802
Au 0.250 0.392 0.777
Tl 0.750 0.375 0.528

Below is a geometry-optimized Sb2PbCl structure, with properties calculated at the PBE-GGA level.

Summary:
ΔE_f (raw): -0.13 eV/atom
ΔE to the lowest computed polymorph: 0.118 eV/atom

Lattice parameters (Å, degrees): 3.511 3.511 10.249 90.00 90.00 113.31
Sites, in units of the cell vectors:
Sb 0.500 0.500 0.240
Cl 0.000 0.000 0.514
Sb 0.000 0.000 0.025
Pb 0.500 0.500 0.721

Below is a geometry-optimized K2CaSc structure, with properties calculated at the PBE-GGA level.

Summary:
ΔH_f (0 K): 72 kJ/mol of atoms
ΔE to the lowest computed polymorph: 0.405 eV/atom

Lattice parameters (Å, degrees): 10.354 10.354 8.152 50.57 50.57 90.00
Sites, in units of the cell vectors:
Ca 0.250 0.750 0.500
Sc 0.750 0.250 0.500
K 0.375 0.364 0.750
Sc 0.000 0.000 0.000
K 0.114 0.625 0.250
K 0.875 0.886 0.750
K 0.636 0.125 0.250
Ca 0.500 0.500 0.000

Below is a geometry-optimized AcCdGe2Pt2 structure, with properties calculated at the PBE-GGA level.

Summary:
ΔH_f (0 K): -65 kJ/mol of atoms

Lattice parameters (Å, degrees): 4.445 4.445 7.413 90.00 90.00 120.00
Sites, in units of the cell vectors:
Pt 0.333 0.667 0.317
Cd 0.000 0.000 0.500
Ac 0.000 0.000 0.000
Pt 0.667 0.333 0.683
Ge 0.333 0.667 0.717
Ge 0.667 0.333 0.283

Below is a geometry-optimized Tb3Pm3TmTe8 structure, with properties calculated at the PBE-GGA level.

Summary:
ΔE_f (raw): -1.40 eV/atom

Lattice parameters (Å, degrees): 8.784 8.784 8.814 119.89 90.00 120.00
Sites, in units of the cell vectors:
Te 0.250 0.501 0.745
Te 0.745 0.995 0.745
Te 0.748 0.495 0.743
Te 0.255 0.005 0.255
Te 0.252 0.505 0.257
Te 0.750 0.499 0.255
Pm 0.000 0.000 0.000
Tb 0.500 0.500 0.500
Tb 0.500 0.000 0.500
Te 0.750 0.005 0.255
Tb 0.000 0.500 0.500
Tm 0.000 0.000 0.500
Pm 0.500 0.500 0.000
Pm 0.000 0.500 0.000
Te 0.250 0.995 0.745

Below is a geometry-optimized Ba2DyReN4 structure, with properties calculated at the PBE-GGA level.

Summary:
ΔE_f (raw): -0.39 eV/atom

Lattice parameters (Å, degrees): 5.932 6.752 10.978 83.18 74.33 63.94
Sites, in units of the cell vectors:
Dy 0.750 0.500 0.500
Ba 0.567 0.500 0.866
N 0.497 0.318 0.587
Re 0.500 0.000 0.000
N 0.916 0.682 0.587
Re 0.250 0.500 0.500
N 0.253 0.182 0.913
Ba 0.183 0.000 0.634
N 0.185 0.318 0.413
Dy 0.000 0.000 0.000
Ba 0.933 0.500 0.134
Ba 0.817 0.000 0.366
N 0.565 0.182 0.087
N 0.402 0.682 0.413
N 0.348 0.818 0.087
N 0.834 0.818 0.913

Below is a geometry-optimized YbMgS3 structure, with properties calculated at the PBE-GGA level.

Summary:
ΔE_f (raw): -1.17 eV/atom
ΔE to the lowest computed polymorph: 0.099 eV/atom

Lattice parameters (Å, degrees): 5.511 5.511 7.541 75.20 75.20 98.69
Sites, in units of the cell vectors:
S 0.685 0.061 0.754
Yb 0.784 0.784 0.471
Mg 0.294 0.706 0.000
S 0.403 0.403 0.770
S 0.061 0.685 0.754
Mg 0.706 0.294 0.000
S 0.315 0.939 0.246
Yb 0.216 0.216 0.529
S 0.939 0.315 0.246
S 0.597 0.597 0.230

Below is a geometry-optimized Tl4H structure, with properties calculated at the PBE-GGA level.

Summary:
total energy: -2.372 eV/atom

Lattice parameters (Å, degrees): 5.063 5.063 5.063 90.00 90.00 90.00
Sites, in units of the cell vectors:
H 0.500 0.500 0.500
Tl 0.000 0.000 0.000
Tl 0.000 0.500 0.500
Tl 0.500 0.000 0.500
Tl 0.500 0.500 0.000

Below is a geometry-optimized SrHoTe2 structure, with properties calculated at the PBE-GGA level.

Summary:
ΔE_f (raw): -1.43 eV/atom
ΔE to the lowest computed polymorph: 0.048 eV/atom

Lattice parameters (Å, degrees): 4.397 4.397 8.281 74.60 74.60 60.00
Sites, in units of the cell vectors:
Te 0.076 0.076 0.773
Te 0.258 0.258 0.225
Ho 0.669 0.669 0.992
Sr 0.497 0.497 0.510

| no. | density of states at the Fermi level (states/eV/f.u.) |
| --- | --- |
| 1 | 13.38 |
| 2 | 3.46 |
| 3 | 10.83 |
| 4 | 1.77 |
| 5 | 1.24 |
| 6 | 8.19 |
| 7 | 2.94 |
| 8 | 6.88 |
| 9 | 4.72 |
| 10 | 18.20 |
| 11 | 2.91 |
| 12 | 2.67 |